# 1
# CrTe4

A PBEsol-optimized structure of CrTe4 (SCAN, the Alexandria database).

Properties
- Energy: -2.454 Ry/atom
- Energy relative to the elements, uncorrected: 0.090 eV per atom
- SG: Im-3m (229)
- Magnetization: 3.98 μB per formula unit
- Calculated volume: 141.7 Å³/cell
- Crystal system: cubic

Unit cell a=5.689 b=5.689 c=5.689 alpha=109.47 beta=109.47 gamma=109.47
Fractional coordinates of all 5 atoms:
Cr1 0.000 0.000 0.000
Te1 0.000 0.000 0.500
Te2 0.000 0.500 0.000
Te3 0.500 0.000 0.000
Te4 0.500 0.500 0.500

# 2
# TlCr2Cd

A PBEsol-optimized structure of TlCr2Cd (SCAN, the Alexandria database).

Properties
- Energy: -2.502 Ry/atom
- SG: P2/m (10)
- Magnetization: 2.32 μB per formula unit
- Calculated volume: 69.9 Å³/cell
- Crystal system: monoclinic
- Calculated formation energy: 0.843 eV per atom

Unit cell a=2.907 b=4.280 c=5.620 alpha=90.00 beta=90.11 gamma=90.00
Fractional coordinates of all 4 atoms:
Tl1 0.000 0.000 0.000
Cr1 0.499 0.500 0.326
Cr2 0.501 0.500 0.674
Cd1 0.000 0.000 0.500

# 3
# ZnCo2Br

A PBEsol-optimized structure of ZnCo2Br (SCAN, the Alexandria database).

Properties
- Energy: -1.206 Ry/atom
- Energy relative to the elements, uncorrected: 0.486 eV per atom
- SG: R-3m (166)
- Magnetization: 2.96 μB per formula unit
- Calculated volume: 54.2 Å³/cell
- Excess energy over the best structure of this formula in the dataset: 0.95 eV per formula unit
- Crystal system: trigonal

Unit cell a=7.617 b=7.617 c=7.617 alpha=21.98 beta=21.98 gamma=21.98
Fractional coordinates of all 4 atoms:
Zn1 0.000 0.000 0.000
Co1 0.250 0.250 0.250
Co2 0.750 0.750 0.750
Br1 0.500 0.500 0.500

# 4
# Zn3AsC

A PBEsol-optimized structure of Zn3AsC (SCAN, the Alexandria database).

Properties
- Energy: -0.922 Ry/atom
- SG: Pm-3m (221)
- Magnetization: 2.17 μB per formula unit
- Calculated volume: 105.2 Å³/cell
- Crystal system: cubic
- Calculated formation energy: 1.623 eV per atom

Unit cell a=4.721 b=4.721 c=4.721 alpha=90.00 beta=90.00 gamma=90.00
Fractional coordinates of all 5 atoms:
Zn1 0.000 0.000 0.500
Zn2 0.000 0.500 0.000
Zn3 0.500 0.000 0.000
As1 0.000 0.000 0.000
C1 0.500 0.500 0.500

# 5
# TaMnTc2

A PBEsol-optimized structure of TaMnTc2 (SCAN, the Alexandria database).

Properties
- Energy: -2.843 Ry/atom
- SG: Cmmm (65)
- Magnetization: 0.00 μB per formula unit
- Calculated volume: 56.2 Å³/cell
- Crystal system: orthorhombic
- Calculated formation energy: 0.059 eV per atom

Unit cell a=2.693 b=2.693 c=7.753 alpha=90.00 beta=90.00 gamma=91.07
Fractional coordinates of all 4 atoms:
Ta1 0.000 0.000 0.000
Mn1 0.000 0.000 0.500
Tc1 0.500 0.500 0.286
Tc2 0.500 0.500 0.714

# 6
# TaZn2Se

A PBEsol-optimized structure of TaZn2Se (SCAN, the Alexandria database).

Properties
- Energy: -2.072 Ry/atom
- Energy relative to the elements, uncorrected: 0.232 eV per atom
- SG: Pmmm (47)
- Magnetization: 0.00 μB per formula unit
- Calculated volume: 63.8 Å³/cell
- Crystal system: orthorhombic

Unit cell a=3.134 b=4.311 c=4.724 alpha=90.00 beta=90.00 gamma=90.00
Fractional coordinates of all 4 atoms:
Ta1 0.000 0.000 0.000
Zn1 0.000 0.500 0.500
Zn2 0.500 0.000 0.500
Se1 0.500 0.500 0.000